1.
A plane-wave DFT calculation with PBE was carried out for a relaxed Sm3YTm3 crystal.

```
Sm3YTm3
1.0
9.5729 0.0000 0.0000
-4.7865 8.2904 0.0000
0.0000 0.0000 5.6938
Sm Y Tm
6 2 6
Cartesian
-0.7102 2.0000 1.4234
-2.6993 7.9054 1.4234
1.3770 1.6151 4.2703
3.4095 6.6753 1.4234
7.4857 0.3850 4.2703
5.4967 6.2903 4.2703
0.0000 5.5269 1.4234
4.7865 2.7635 4.2703
-1.3814 3.9540 4.2703
-0.6715 7.5097 4.2703
2.7336 3.1734 1.4234
2.0529 5.1170 4.2703
5.4579 0.7807 1.4234
6.1679 4.3363 1.4234
```

## Properties
- Total magnetic moment: 0.000 μB/atom
- Polymorph energy (0 for the lowest one): 0 meV per atom
- Space-group type: P6_3/m (176)
- ΔE_f: 1 kJ per mole of atoms
- Density of states at the Fermi level: 26.71 states/eV per cell

***

2.
A plane-wave DFT calculation with PBE was carried out for a relaxed AlSbTe2Mo crystal.

```
AlSbTe2Mo
1.0
5.3607 0.0000 0.0000
0.0000 5.3607 0.0000
0.0000 0.0000 5.2439
Al Sb Te Mo
1 1 2 1
Cartesian
0.0000 0.0000 0.0000
2.6804 2.6804 0.0000
0.0000 2.6804 2.6219
2.6804 0.0000 2.6219
2.6804 2.6804 2.6219
```

## Properties
- Total magnetic moment: 0.000 μB/atom
- Polymorph energy (0 for the lowest one): 0 meV per atom
- Space-group type: P4/mmm (123)
- Raw formation energy: 0.570 eV/atom
- Density of states at the Fermi level: 5.69 states/eV per cell

***

3.
A plane-wave DFT calculation with PBE was carried out for a relaxed DyHo7Al4 crystal.

```
DyHo7Al4
1.0
6.9041 -2.7319 0.0000
6.9041 2.7319 0.0000
-5.8878 0.0000 8.5432
Dy Ho Al
1 7 4
Cartesian
0.0000 0.0000 0.0000
-1.3887 0.0000 3.3254
-2.2288 0.0000 7.4973
2.0178 0.0000 3.0251
6.9041 0.0000 0.0000
5.9027 0.0000 5.5182
10.1493 0.0000 1.0459
9.3091 0.0000 5.2178
0.5310 0.0000 5.7028
4.7536 0.0000 2.0238
3.1669 0.0000 6.5194
7.3894 0.0000 2.8405
```

## Properties
- Total magnetic moment: 0.015 μB/atom
- Space-group type: C2/m (12)
- ΔE_f: -5 kJ per mole of atoms
- Density of states at the Fermi level: 13.26 states/eV per cell

***

4.
A plane-wave DFT calculation with PBE was carried out for a relaxed NdTmAlNi crystal.

```
NdTmAlNi
1.0
7.1078 0.0000 0.0000
0.0000 7.1078 0.0000
0.0000 0.0000 7.1078
Nd Tm Al Ni
4 4 4 4
Cartesian
0.0000 0.0000 0.0000
0.0000 3.5539 3.5539
3.5539 0.0000 3.5539
3.5539 3.5539 0.0000
0.0000 0.0000 3.5539
0.0000 3.5539 0.0000
3.5539 0.0000 0.0000
3.5539 3.5539 3.5539
1.7769 1.7769 5.3308
1.7769 5.3308 1.7769
5.3308 1.7769 1.7769
5.3308 5.3308 5.3308
1.7769 1.7769 1.7769
1.7769 5.3308 5.3308
5.3308 1.7769 5.3308
5.3308 5.3308 1.7769
```

## Properties
- Total magnetic moment: 0.000 μB/atom
- Space-group type: F-43m (216)
- ΔE_f: -25 kJ per mole of atoms
- Density of states at the Fermi level: 14.87 states/eV per cell

***

5.
A plane-wave DFT calculation with PBE was carried out for a relaxed Al2Ge2Pb crystal.

```
Al2Ge2Pb
1.0
4.1185 0.0000 0.0000
0.0000 4.1185 0.0000
0.0000 0.0000 12.8183
Al Ge Pb
4 4 2
Cartesian
0.0000 2.0592 3.2046
0.0000 2.0592 9.6137
2.0592 0.0000 3.2046
2.0592 0.0000 9.6137
0.0000 0.0000 1.5254
0.0000 0.0000 11.2930
2.0592 2.0592 4.8838
2.0592 2.0592 7.9345
0.0000 0.0000 6.4092
2.0592 2.0592 0.0000
```

## Properties
- Total magnetic moment: 0.000 μB/atom
- Polymorph energy (0 for the lowest one): 0 meV per atom
- Space-group type: I4/mmm (139)
- ΔE_f: 11 kJ per mole of atoms
- Density of states at the Fermi level: 4.26 states/eV per cell

***

6.
A plane-wave DFT calculation with PBE was carried out for a relaxed Sr2LaAu crystal.

```
Sr2LaAu
1.0
8.1278 0.0000 0.0000
0.0000 8.1278 0.0000
0.0000 0.0000 8.1278
Sr La Au
8 4 4
Cartesian
0.0000 0.0000 0.0000
0.0000 4.0639 4.0639
2.0320 2.0320 2.0320
2.0320 6.0959 6.0959
4.0639 0.0000 4.0639
4.0639 4.0639 0.0000
6.0959 2.0320 6.0959
6.0959 6.0959 2.0320
0.0000 0.0000 4.0639
0.0000 4.0639 0.0000
4.0639 0.0000 0.0000
4.0639 4.0639 4.0639
2.0320 2.0320 6.0959
2.0320 6.0959 2.0320
6.0959 2.0320 2.0320
6.0959 6.0959 6.0959
```

## Properties
- Total magnetic moment: 0.000 μB/atom
- Polymorph energy (0 for the lowest one): 325 meV per atom
- Space-group type: F-43m (216)
- ΔE_f: -3 kJ per mole of atoms
- Density of states at the Fermi level: 18.47 states/eV per cell

***

total magnetic moment of number 2 (AlSbTe2Mo)? 0.000 μB/atom

***

Look up the density of states at the Fermi level of the first one. 26.71 states/eV per cell